(1)
Entry from the Alexandria database: Sb2TeCN after structural relaxation (PBE).

Energy   -4.00 eV/atom
E_form (uncorrected)   1789 meV/atom
Symmetry   P4/mmm, No. 123
Offset from the most stable computed form   0 meV per atom
N(E_F)   0.67 states/eV/atom

abc: 4.7517 4.7517 4.5432
angles: 90.00 90.00 90.00
With the nearest neighbours (Å) after each atom.
Atoms (fractional coordinates):
Sb1 0.0000 0.5000 0.0000  2 N 2.38
Sb2 0.5000 0.0000 0.0000  2 N 2.38
Te1 0.0000 0.0000 0.5000  2 N 2.27
C1 0.5000 0.5000 0.5000  8 Sb 3.29, 4 Te 3.36
N1 0.0000 0.0000 0.0000  2 Te 2.27, 4 Sb 2.38



(2)
Entry from the Alexandria database: Th3SbCN after structural relaxation (PBE).

Energy   -8.23 eV/atom
E_form (uncorrected)   -906 meV/atom
Symmetry   P2_1/m, No. 11
N(E_F)   0.39 states/eV/atom

abc: 8.1221 4.0811 9.2903
angles: 90.00 109.21 90.00
With the nearest neighbours (Å) after each atom.
Atoms (fractional coordinates):
Th1 0.0459 0.2500 0.3594  3 C 2.48-2.72
Th2 0.3005 0.2500 0.9463  3 N 2.33-2.34
Th3 0.3861 0.7500 0.6369  1 N 2.34
Th4 0.6139 0.2500 0.3631  1 N 2.34
Th5 0.6995 0.7500 0.0537  3 N 2.33-2.34
Th6 0.9541 0.7500 0.6406  3 C 2.48-2.72
Sb1 0.2730 0.7500 0.2341  7 Th 3.21-3.55
Sb2 0.7270 0.2500 0.7659  7 Th 3.21-3.55
C1 0.1753 0.2500 0.6414  6 Th 2.48-2.72
C2 0.8247 0.7500 0.3586  6 Th 2.48-2.72
N1 0.4081 0.7500 0.8945  4 Th 2.33-2.34
N2 0.5919 0.2500 0.1055  4 Th 2.33-2.34



(3)
Entry from the Alexandria database: Sc3CN after structural relaxation (PBE).

Energy   -7.59 eV/atom
E_form (uncorrected)   -276 meV/atom
Symmetry   Pm-3m, No. 221
Offset from the most stable computed form   0 meV per atom
N(E_F)   0.68 states/eV/atom

abc: 4.2131 4.2131 4.2131
angles: 90.00 90.00 90.00
With the nearest neighbours (Å) after each atom.
Atoms (fractional coordinates):
Sc1 0.0000 0.0000 0.5000  2 N 2.11
Sc2 0.0000 0.5000 0.0000  2 N 2.11
Sc3 0.5000 0.0000 0.0000  2 N 2.11
C1 0.5000 0.5000 0.5000  12 Sc 2.98
N1 0.0000 0.0000 0.0000  6 Sc 2.11



(4)
Entry from the Alexandria database: Sc3CN2 after structural relaxation (PBE).

Energy   -8.78 eV/atom
E_form (uncorrected)   -1299 meV/atom
Symmetry   Immm, No. 71
N(E_F)   0.33 states/eV/atom

abc: 3.2005 4.5858 9.7831
angles: 90.00 90.00 90.00
With the nearest neighbours (Å) after each atom.
Atoms (fractional coordinates):
Sc1 0.0000 0.0000 0.0000  4 N 2.29, 2 C 2.29
Sc2 0.0000 0.0000 0.3266  4 N 2.23-2.29, 2 C 2.33
Sc3 0.0000 0.0000 0.6734  4 N 2.23-2.29, 2 C 2.33
Sc4 0.5000 0.5000 0.1734  4 N 2.23-2.29, 2 C 2.33
Sc5 0.5000 0.5000 0.5000  4 N 2.29, 2 C 2.29
Sc6 0.5000 0.5000 0.8266  4 N 2.23-2.29, 2 C 2.33
C1 0.0000 0.5000 0.0000  6 Sc 2.29-2.33
C2 0.5000 0.0000 0.5000  6 Sc 2.29-2.33
N1 0.0000 0.5000 0.3323  6 Sc 2.23-2.29
N2 0.0000 0.5000 0.6677  6 Sc 2.23-2.29
N3 0.5000 0.0000 0.1677  6 Sc 2.23-2.29
N4 0.5000 0.0000 0.8323  6 Sc 2.23-2.29



(5)
Entry from the Alexandria database: Sc5CN2 after structural relaxation (PBE).

Energy   -8.19 eV/atom
E_form (uncorrected)   -994 meV/atom
Symmetry   Cmcm, No. 63
N(E_F)   0.60 states/eV/atom

abc: 5.7182 5.7182 10.8559
angles: 90.00 90.00 134.20
With the nearest neighbours (Å) after each atom.
Atoms (fractional coordinates):
Sc1 0.0490 0.9510 0.6173  1 C 2.20, 2 N 2.23-2.26
Sc2 0.0490 0.9510 0.8827  1 C 2.20, 2 N 2.23-2.26
Sc3 0.2575 0.7425 0.2500  2 C 2.26, 2 N 2.33
Sc4 0.3314 0.6686 0.5680  3 N 2.23-2.30, 1 C 2.37
Sc5 0.3314 0.6686 0.9320  3 N 2.23-2.30, 1 C 2.37
Sc6 0.6686 0.3314 0.0680  3 N 2.23-2.30, 1 C 2.37
Sc7 0.6686 0.3314 0.4320  3 N 2.23-2.30, 1 C 2.37
Sc8 0.7425 0.2575 0.7500  2 C 2.26, 2 N 2.33
Sc9 0.9510 0.0490 0.1173  1 C 2.20, 2 N 2.23-2.26
Sc10 0.9510 0.0490 0.3827  1 C 2.20, 2 N 2.23-2.26
C1 0.2074 0.7926 0.7500  6 Sc 2.20-2.37
C2 0.7926 0.2074 0.2500  6 Sc 2.20-2.37
N1 0.1570 0.8430 0.0590  6 Sc 2.23-2.33
N2 0.1570 0.8430 0.4410  6 Sc 2.23-2.33
N3 0.8430 0.1570 0.5590  6 Sc 2.23-2.33
N4 0.8430 0.1570 0.9410  6 Sc 2.23-2.33



(6)
Entry from the Alexandria database: Sc4CN after structural relaxation (PBE).

Energy   -7.99 eV/atom
E_form (uncorrected)   -841 meV/atom
Symmetry   P2/m, No. 10
N(E_F)   0.96 states/eV/atom

abc: 5.5254 3.2793 5.6711
angles: 90.00 90.72 90.00
With the nearest neighbours (Å) after each atom.
Atoms (fractional coordinates):
Sc1 0.2209 0.0000 0.3379  2 N 2.25, 1 C 2.26
Sc2 0.2241 0.5000 0.8333  1 N 2.25, 2 C 2.27
Sc3 0.7759 0.5000 0.1667  1 N 2.25, 2 C 2.27
Sc4 0.7791 0.0000 0.6621  2 N 2.25, 1 C 2.26
C1 0.0000 0.0000 0.0000  6 Sc 2.26-2.27
N1 0.0000 0.5000 0.5000  6 Sc 2.25



(7)
Entry from the Alexandria database: Sc2CN after structural relaxation (PBE).

Energy   -7.70 eV/atom
E_form (uncorrected)   -148 meV/atom
Symmetry   Fm-3m, No. 225
Offset from the most stable computed form   486 meV per atom
N(E_F)   0.85 states/eV/atom

abc: 5.6897 5.6897 5.6897
angles: 90.00 90.00 90.00
With the nearest neighbours (Å) after each atom.
Atoms (fractional coordinates):
Sc1 0.2500 0.2500 0.2500  4 C 2.46, 4 N 2.46
Sc2 0.2500 0.2500 0.7500  4 C 2.46, 4 N 2.46
Sc3 0.2500 0.7500 0.2500  4 C 2.46, 4 N 2.46
Sc4 0.2500 0.7500 0.7500  4 C 2.46, 4 N 2.46
Sc5 0.7500 0.2500 0.2500  4 C 2.46, 4 N 2.46
Sc6 0.7500 0.2500 0.7500  4 C 2.46, 4 N 2.46
Sc7 0.7500 0.7500 0.2500  4 C 2.46, 4 N 2.46
Sc8 0.7500 0.7500 0.7500  4 C 2.46, 4 N 2.46
C1 0.0000 0.0000 0.0000  8 Sc 2.46
C2 0.0000 0.5000 0.5000  8 Sc 2.46
C3 0.5000 0.0000 0.5000  8 Sc 2.46
C4 0.5000 0.5000 0.0000  8 Sc 2.46
N1 0.0000 0.0000 0.5000  8 Sc 2.46
N2 0.0000 0.5000 0.0000  8 Sc 2.46
N3 0.5000 0.0000 0.0000  8 Sc 2.46
N4 0.5000 0.5000 0.5000  8 Sc 2.46



(8)
Entry from the Alexandria database: Sc5CN after structural relaxation (PBE).

Energy   -7.64 eV/atom
E_form (uncorrected)   -607 meV/atom
Symmetry   C2/c, No. 15
N(E_F)   0.84 states/eV/atom

abc: 5.9572 5.9572 8.2948
angles: 110.00 110.00 69.48
With the nearest neighbours (Å) after each atom.
Atoms (fractional coordinates):
Sc1 0.1002 0.8998 0.7500  2 N 2.18, 1 C 2.29
Sc2 0.1903 0.3077 0.6486  1 C 2.24, 1 N 2.26
Sc3 0.2677 0.6461 0.0463  1 N 2.22, 1 C 2.31
Sc4 0.3077 0.1903 0.1486  1 C 2.24, 1 N 2.26
Sc5 0.3539 0.7323 0.4537  1 N 2.22, 1 C 2.31
Sc6 0.6461 0.2677 0.5463  1 N 2.22, 1 C 2.31
Sc7 0.6923 0.8097 0.8514  1 C 2.24, 1 N 2.26
Sc8 0.7323 0.3539 0.9537  1 N 2.22, 1 C 2.31
Sc9 0.8097 0.6923 0.3514  1 C 2.24, 1 N 2.26
Sc10 0.8998 0.1002 0.2500  2 N 2.18, 1 C 2.29
C1 0.4379 0.5621 0.7500  5 Sc 2.24-2.31
C2 0.5621 0.4379 0.2500  5 Sc 2.24-2.31
N1 0.0000 0.0000 0.0000  6 Sc 2.18-2.26
N2 0.0000 0.0000 0.5000  6 Sc 2.18-2.26



(9)
Entry from the Alexandria database: ScCN after structural relaxation (PBE).

Energy   -8.39 eV/atom
E_form (uncorrected)   -427 meV/atom
Symmetry   C2/m, No. 12
N(E_F)   0.20 states/eV/atom

abc: 8.6536 2.9997 6.4578
angles: 90.00 131.12 90.00
With the nearest neighbours (Å) after each atom.
Atoms (fractional coordinates):
Sc1 0.0000 0.0000 0.0000  4 N 2.21
Sc2 0.0000 0.0000 0.5000  4 N 2.21, 2 C 2.32
Sc3 0.5000 0.5000 0.0000  4 N 2.21
Sc4 0.5000 0.5000 0.5000  4 N 2.21, 2 C 2.32
C1 0.1938 0.5000 0.4133  1 N 1.43
C2 0.3062 0.0000 0.5867  1 N 1.43
C3 0.6938 0.0000 0.4133  1 N 1.43
C4 0.8062 0.5000 0.5867  1 N 1.43
N1 0.0254 0.5000 0.7720  1 C 1.43
N2 0.4746 0.0000 0.2280  1 C 1.43
N3 0.5254 0.0000 0.7720  1 C 1.43
N4 0.9746 0.5000 0.2280  1 C 1.43



(10)
Entry from the Alexandria database: ScCN2 after structural relaxation (PBE).

Energy   -8.03 eV/atom
E_form (uncorrected)   20 meV/atom
Symmetry   I-42d, No. 122
N(E_F)   0.14 states/eV/atom

abc: 4.7839 4.7839 5.8383
angles: 90.00 90.00 90.00
With the nearest neighbours (Å) after each atom.
Atoms (fractional coordinates):
Sc1 0.0000 0.0000 0.0000  4 N 2.26
Sc2 0.0000 0.5000 0.2500  4 N 2.26
Sc3 0.5000 0.0000 0.7500  4 N 2.26
Sc4 0.5000 0.5000 0.5000  4 N 2.26
C1 0.0000 0.0000 0.5000  4 N 1.53
C2 0.0000 0.5000 0.7500  4 N 1.53
C3 0.5000 0.0000 0.2500  4 N 1.53
C4 0.5000 0.5000 0.0000  4 N 1.53
N1 0.1293 0.2500 0.6250  2 C 1.53
N2 0.2500 0.6293 0.8750  2 C 1.53
N3 0.2500 0.8707 0.3750  2 C 1.53
N4 0.3707 0.2500 0.1250  2 C 1.53
N5 0.6293 0.7500 0.1250  2 C 1.53
N6 0.7500 0.1293 0.3750  2 C 1.53
N7 0.7500 0.3707 0.8750  2 C 1.53
N8 0.8707 0.7500 0.6250  2 C 1.53



(11)
Entry from the Alexandria database: Sc8C2N3 after structural relaxation (PBE).

Energy   -8.34 eV/atom
E_form (uncorrected)   -1099 meV/atom
Symmetry   C2/m, No. 12
N(E_F)   0.46 states/eV/atom

abc: 6.5375 6.5375 5.6481
angles: 106.53 106.53 60.11
With the nearest neighbours (Å) after each atom.
Atoms (fractional coordinates):
Sc1 0.1147 0.6349 0.2376  2 N 2.25-2.30, 2 C 2.26-2.32
Sc2 0.1172 0.1172 0.2412  3 N 2.26-2.27, 1 C 2.33
Sc3 0.3651 0.8853 0.7624  2 N 2.25-2.30, 2 C 2.26-2.32
Sc4 0.3789 0.3789 0.7789  1 C 2.21, 2 N 2.23
Sc5 0.6211 0.6211 0.2211  1 C 2.21, 2 N 2.23
Sc6 0.6349 0.1147 0.2376  2 N 2.25-2.30, 2 C 2.26-2.32
Sc7 0.8828 0.8828 0.7588  3 N 2.26-2.27, 1 C 2.33
Sc8 0.8853 0.3651 0.7624  2 N 2.25-2.30, 2 C 2.26-2.32
C1 0.2516 0.2516 0.0039  6 Sc 2.21-2.33
C2 0.7484 0.7484 0.9961  6 Sc 2.21-2.33
N1 0.0000 0.0000 0.5000  6 Sc 2.27-2.30
N2 0.2505 0.7495 0.0000  6 Sc 2.23-2.26
N3 0.7495 0.2505 0.0000  6 Sc 2.23-2.26